(1)
Here is a relaxed structure of Te2CIBr from the Alexandria database. Energies are from PBE.

Cell lengths 4.9217, 4.9217, 5.0890 Å; angles 90.00, 90.00, 90.00 degrees
Closest atoms and distances in Å follow each position.
Sites, in units of the cell vectors:
Te  0.0000  0.5000  0.0000  2 C 2.46
Te  0.5000  0.0000  0.0000  2 C 2.46
C  0.0000  0.0000  0.0000  4 Te 2.46, 2 I 2.54
I  0.0000  0.0000  0.5000  2 C 2.54
Br  0.5000  0.5000  0.5000  4 I 3.48, 8 Te 3.54

* energy relative to the elements, uncorrected: 1079.8 meV per atom
* E: -2.6662 eV/atom

(2)
Here is a relaxed structure of Th7Si4Se4 from the Alexandria database. Energies are from PBE.

Cell lengths 11.5891, 11.5891, 11.5891 Å; angles 94.18, 94.18, 148.68 degrees
Closest atoms and distances in Å follow each position.
Sites, in units of the cell vectors:
Th  0.0000  0.2682  0.2682  2 Se 3.01, 4 Si 3.15
Th  0.0000  0.7318  0.7318  2 Se 3.01, 4 Si 3.15
Th  0.1119  0.5000  0.6119  4 Si 2.98
Th  0.2480  0.2480  0.0000  8 Se 3.07-3.14, 2 Th 3.10-3.15
Th  0.2682  0.0000  0.2682  2 Se 3.01, 4 Si 3.15
Th  0.3113  0.3113  0.6225  4 Si 2.97, 2 Se 2.99
Th  0.3113  0.6887  0.0000  4 Si 2.97, 2 Se 2.99
Th  0.5000  0.1119  0.6119  4 Si 2.98
Th  0.5000  0.8881  0.3881  4 Si 2.98
Th  0.6887  0.3113  0.0000  4 Si 2.97, 2 Se 2.99
Th  0.6887  0.6887  0.3775  4 Si 2.97, 2 Se 2.99
Th  0.7318  0.0000  0.7318  2 Se 3.01, 4 Si 3.15
Th  0.7520  0.7520  0.0000  8 Se 3.07-3.14, 2 Th 3.10-3.15
Th  0.8881  0.5000  0.3881  4 Si 2.98
Si  0.0952  0.5952  0.1904  6 Th 2.97-3.15, 2 Si 3.13
Si  0.0952  0.9048  0.5000  6 Th 2.97-3.15, 2 Si 3.13
Si  0.4048  0.5952  0.5000  6 Th 2.97-3.15, 2 Si 3.13
Si  0.4048  0.9048  0.8096  6 Th 2.97-3.15, 2 Si 3.13
Si  0.5952  0.0952  0.1904  6 Th 2.97-3.15, 2 Si 3.13
Si  0.5952  0.4048  0.5000  6 Th 2.97-3.15, 2 Si 3.13
Si  0.9048  0.0952  0.5000  6 Th 2.97-3.15, 2 Si 3.13
Si  0.9048  0.4048  0.8096  6 Th 2.97-3.15, 2 Si 3.13
Se  0.1185  0.1185  0.2371  4 Th 3.01-3.07
Se  0.1185  0.8815  0.0000  4 Th 3.01-3.07
Se  0.3279  0.5000  0.8279  4 Th 2.99-3.14
Se  0.5000  0.3279  0.8279  4 Th 2.99-3.14
Se  0.5000  0.6721  0.1721  4 Th 2.99-3.14
Se  0.6721  0.5000  0.1721  4 Th 2.99-3.14
Se  0.8815  0.1185  0.0000  4 Th 3.01-3.07
Se  0.8815  0.8815  0.7629  4 Th 3.01-3.07

* energy relative to the elements, uncorrected: -989.4 meV per atom
* E: -6.8273 eV/atom

(3)
Here is a relaxed structure of Tb8Tm3Sc4 from the Alexandria database. Energies are from PBE.

Cell lengths 8.7918, 8.7918, 6.5916 Å; angles 108.93, 108.93, 84.33 degrees
Closest atoms and distances in Å follow each position.
Sites, in units of the cell vectors:
Tb  0.2022  0.2022  0.1657  4 Tb 3.24-3.53, 2 Tm 3.30, 3 Sc 3.53-3.57
Tb  0.2056  0.7944  0.0000  2 Tm 3.30, 4 Tb 3.36-3.39, 3 Sc 3.47-3.51
Tb  0.2605  0.7395  0.5000  1 Sc 2.83, 1 Tm 3.08
Tb  0.2665  0.2665  0.6988  1 Sc 2.81, 1 Tm 3.13
Tb  0.7335  0.7335  0.3012  1 Sc 2.81, 1 Tm 3.13
Tb  0.7395  0.2605  0.5000  1 Sc 2.83, 1 Tm 3.08
Tb  0.7944  0.2056  0.0000  2 Tm 3.30, 4 Tb 3.36-3.39, 3 Sc 3.47-3.51
Tb  0.7978  0.7978  0.8343  4 Tb 3.24-3.53, 2 Tm 3.30, 3 Sc 3.53-3.57
Tm  0.0000  0.0000  0.5000  4 Tb 3.08-3.13
Tm  0.0000  0.5000  0.0000  2 Sc 3.30, 8 Tb 3.30-3.61
Tm  0.5000  0.0000  0.0000  2 Sc 3.30, 8 Tb 3.30-3.61
Sc  0.0000  0.5000  0.5000  8 Tb 3.20-3.57, 2 Tm 3.30
Sc  0.5000  0.0000  0.5000  8 Tb 3.20-3.57, 2 Tm 3.30
Sc  0.5000  0.5000  0.0000  2 Tb 2.81
Sc  0.5000  0.5000  0.5000  2 Tb 2.83

* E: -4.6713 eV/atom
* DFT formation energy: 381 meV/atom

(4)
Here is a relaxed structure of LiFeHg3 from the Alexandria database. Energies are from PBE.

Cell lengths 4.8196, 4.8196, 4.8196 Å; angles 90.00, 90.00, 90.00 degrees
Closest atoms and distances in Å follow each position.
Sites, in units of the cell vectors:
Li  0.0000  0.0000  0.0000  6 Hg 2.41
Fe  0.5000  0.5000  0.5000  12 Hg 3.41
Hg  0.0000  0.0000  0.5000  2 Li 2.41
Hg  0.0000  0.5000  0.0000  2 Li 2.41
Hg  0.5000  0.0000  0.0000  2 Li 2.41

* E: -1.6339 eV/atom
* DFT formation energy: 622 meV/atom

(5)
Here is a relaxed structure of CaGaSb2 from the Alexandria database. Energies are from PBE.

Cell lengths 6.6864, 6.6864, 6.6864 Å; angles 107.84, 107.84, 112.78 degrees
Closest atoms and distances in Å follow each position.
Sites, in units of the cell vectors:
Ca  0.0000  0.0000  0.0000  4 Sb 3.22
Ca  0.7500  0.2500  0.5000  4 Sb 3.22
Ga  0.2500  0.7500  0.5000  4 Sb 2.68
Ga  0.5000  0.5000  0.0000  4 Sb 2.68
Sb  0.1760  0.6250  0.0510  2 Ga 2.68
Sb  0.3750  0.4260  0.5510  2 Ga 2.68
Sb  0.5740  0.1250  0.9490  2 Ga 2.68
Sb  0.8750  0.8240  0.4490  2 Ga 2.68

* energy relative to the elements, uncorrected: -367.7 meV per atom
* E: -3.6861 eV/atom

(6)
Here is a relaxed structure of Pm4GeAs from the Alexandria database. Energies are from PBE.

Cell lengths 7.1823, 7.2268, 7.1919 Å; angles 90.00, 91.16, 90.00 degrees
Closest atoms and distances in Å follow each position.
Sites, in units of the cell vectors:
Pm  0.1561  0.1563  0.1619  2 As 2.92-2.95, 1 Ge 2.97
Pm  0.1561  0.3437  0.6619  2 As 2.92-2.95, 1 Ge 2.97
Pm  0.3442  0.6569  0.1502  1 As 2.91, 2 Ge 2.94-2.96
Pm  0.3442  0.8431  0.6502  1 As 2.91, 2 Ge 2.94-2.96
Pm  0.6558  0.1569  0.3498  1 As 2.91, 2 Ge 2.94-2.96
Pm  0.6558  0.3431  0.8498  1 As 2.91, 2 Ge 2.94-2.96
Pm  0.8439  0.6563  0.3381  2 As 2.92-2.95, 1 Ge 2.97
Pm  0.8439  0.8437  0.8381  2 As 2.92-2.95, 1 Ge 2.97
Ge  0.5000  0.0000  0.0000  6 Pm 2.94-2.97
Ge  0.5000  0.5000  0.5000  6 Pm 2.94-2.97
As  0.0000  0.0000  0.5000  6 Pm 2.91-2.95
As  0.0000  0.5000  0.0000  6 Pm 2.91-2.95

* E: -5.3250 eV/atom
* DFT formation energy: -613 meV/atom

Number 1: total magnetization 0.0 μB per cell. Number 2: total magnetization 0.0 μB per cell. Number 3: total magnetization 0.5 μB per cell. Number 4: total magnetization 3.3 μB per cell. Number 5: total magnetization 0.0 μB per cell. Number 6: total magnetization 0.0 μB per cell.